Computed, not measured: a crystal of Zn4Au5 relaxed with PBEsol at the meta-GGA SCAN level of DFT.

Structure (POSCAR):
```
Zn4Au5
1.0
5.4812 0.0000 0.0000
0.0000 7.7022 0.0000
0.0000 -3.8511 6.6703
Au Zn
10 8
Cartesian
4.1109 -2.7028 4.6813
4.1109 5.4055 0.0000
4.1109 1.1483 1.9889
1.3703 -1.1483 1.9889
1.3703 2.2966 0.0000
1.3703 2.7028 4.6813
0.0000 0.0000 4.4468
2.7406 3.8511 2.2234
0.0000 3.8511 2.2234
2.7406 0.0000 4.4468
0.0000 0.0000 0.0000
2.7406 0.0000 0.0000
4.1109 -1.4026 2.4293
4.1109 2.8051 0.0000
4.1109 2.4485 4.2410
1.3703 -2.4485 4.2410
1.3703 4.8970 0.0000
1.3703 1.4026 2.4293
```

Results
Symmetry: P6_3/mcm (193)
Energy of formation from the pure elements, eV/atom: -0.224
E, hartree per atom: -1.6409
Energy above the lowest structure with this stoichiometry, meV/atom: 0

---

Computed, not measured: a crystal of TlAgF2 relaxed with PBEsol at the meta-GGA SCAN level of DFT.

Structure (POSCAR):
```
TlAgF2
1.0
4.4248 0.0000 0.0000
2.2124 3.8320 0.0000
2.2124 1.2773 3.6128
Tl Ag F
1 1 2
Cartesian
4.4248 2.5547 1.8064
0.0000 0.0000 0.0000
2.2124 1.2773 0.9032
6.6372 3.8320 2.7096
```

Results
Symmetry: Fm-3m (225)
E, hartree per atom: -1.0680
Energy above the lowest structure with this stoichiometry, meV/atom: 0

---

Computed, not measured: a crystal of AlCu3Pb relaxed with PBEsol at the meta-GGA SCAN level of DFT.

Structure (POSCAR):
```
AlCu3Pb
1.0
4.8575 0.0000 0.0000
0.0000 4.8575 0.0000
0.0000 0.0000 4.8575
Pb Al Cu
1 1 3
Cartesian
0.0000 0.0000 0.0000
2.4287 2.4287 2.4287
0.0000 2.4287 0.0000
0.0000 0.0000 2.4287
2.4287 0.0000 0.0000
```

Results
Symmetry: Pm-3m (221)
Energy of formation from the pure elements, eV/atom: 1.004
E, hartree per atom: -0.9122

---

Computed, not measured: a crystal of Zr2CdAg relaxed with PBEsol at the meta-GGA SCAN level of DFT.

Structure (POSCAR):
```
Zr2CdAg
1.0
-1.0426 -2.6593 -1.0037
4.0988 -1.4324 -0.4624
-0.0932 -2.0702 5.5865
Ag Zr Cd
1 2 1
Cartesian
1.5281 -2.0459 -0.7330
-0.0706 -1.5618 4.2127
-1.0653 -3.1677 0.3701
1.4815 -3.0809 2.0602
```

Results
Symmetry: Pmmm (47)
Energy of formation from the pure elements, eV/atom: -0.106
E, hartree per atom: -1.1356

---

Computed, not measured: a crystal of V2Cu3Bi4O14 relaxed with PBEsol at the meta-GGA SCAN level of DFT.

Structure (POSCAR):
```
V2Cu3Bi4O14
1.0
5.2618 0.0791 0.0251
2.7323 7.6203 0.0019
0.1376 2.2360 7.5985
V Cu Bi O
2 3 4 14
Cartesian
5.2078 5.0037 5.7057
2.9239 4.9316 1.9197
2.4670 1.8361 0.1267
5.6648 8.0992 7.4987
0.0000 0.0000 0.0000
5.2693 2.3727 2.3441
2.8624 7.5627 5.2813
5.5001 7.3268 2.6883
2.6317 2.6086 4.9371
3.9416 1.0120 1.0563
4.1901 8.9234 6.5691
6.8374 9.1768 6.4302
1.2944 0.7586 1.1952
6.2731 4.9090 7.0181
1.8586 5.0264 0.6073
3.5891 4.8457 6.2756
4.5426 5.0897 1.3498
5.5409 3.7564 4.5753
2.5908 6.1790 3.0501
5.3076 6.5922 4.9974
2.8241 3.3432 2.6280
4.0373 1.1806 3.8094
4.0945 8.7548 3.8160
```

Results
Symmetry: P-1 (2)
E, hartree per atom: -0.8272

---

Computed, not measured: a crystal of SiNiAg2 relaxed with PBEsol at the meta-GGA SCAN level of DFT.

Structure (POSCAR):
```
SiNiAg2
1.0
-0.9764 2.5353 0.0551
-2.2493 -0.8378 -1.2741
-3.4158 -1.4674 6.9950
Ag Ni Si
2 1 1
Cartesian
-0.9096 -0.3908 1.8628
-2.5061 -1.0766 5.1322
-3.3207 0.1151 2.8880
-1.6129 0.8488 -0.6095
```

Results
Symmetry: P4/mmm (123)
E, hartree per atom: -0.8019

---

Computed, not measured: a crystal of RbLa3Be relaxed with PBEsol at the meta-GGA SCAN level of DFT.

Structure (POSCAR):
```
RbLa3Be
1.0
5.7026 0.0000 0.0000
0.0000 5.7026 0.0000
0.0000 0.0000 5.7026
Be Rb La
1 1 3
Cartesian
0.0000 0.0000 0.0000
2.8513 2.8513 2.8513
0.0000 2.8513 0.0000
0.0000 0.0000 2.8513
2.8513 0.0000 0.0000
```

Results
Symmetry: Pm-3m (221)
Energy of formation from the pure elements, eV/atom: 0.465
E, hartree per atom: -1.1178

---

Computed, not measured: a crystal of ReAs relaxed with PBEsol at the meta-GGA SCAN level of DFT.

Structure (POSCAR):
```
ReAs
1.0
-3.8021 1.0688 0.6891
-1.2311 -3.6379 -1.1500
2.8143 0.0681 3.7599
Re As
2 2
Cartesian
-1.7522 -0.0739 2.1093
-2.5166 -1.2846 -0.2305
-0.4667 -2.4272 1.1897
0.0000 0.0000 0.0000
```

Results
Symmetry: I4_1/amd (141)
Energy of formation from the pure elements, eV/atom: 0.583
E, hartree per atom: -1.6560
Energy above the lowest structure with this stoichiometry, meV/atom: 537

---

Computed, not measured: a crystal of Si3Ru2 relaxed with PBEsol at the meta-GGA SCAN level of DFT.

Structure (POSCAR):
```
Si3Ru2
1.0
-5.4713 -0.8785 0.2202
0.4968 -4.0386 -3.7681
1.2074 -5.8955 6.4778
Ru Si
8 12
Cartesian
0.6973 -4.2114 0.5246
-1.9772 -4.1426 4.1793
1.3010 -7.1592 3.7636
-2.5809 -1.1948 0.9403
-2.1854 -3.9324 -0.1545
-1.5817 -6.8802 3.0844
0.0000 0.0000 0.0000
0.6037 -2.9478 3.2389
-0.8476 -2.1520 -0.7093
-3.9086 -3.8312 -1.6671
-0.4546 -8.8769 2.9830
-2.3235 -6.7650 5.2533
-0.1006 -6.2645 1.4428
-3.4482 -5.6142 2.6586
-1.3492 -3.5639 1.9509
-2.6363 -6.1825 -0.1924
0.0586 -5.2588 4.2543
-3.2221 -8.5015 1.9146
-0.2175 -4.9744 -1.4696
-4.1534 -2.8904 1.1607
```

Results
Symmetry: P-4c2 (116)
E, hartree per atom: -0.7567

---

Computed, not measured: a crystal of CaTlRu2 relaxed with PBEsol at the meta-GGA SCAN level of DFT.

Structure (POSCAR):
```
CaTlRu2
1.0
-2.2604 0.8487 1.7118
-1.8825 -0.5601 -2.2082
1.3804 -8.7406 1.0401
Ca Ru Tl
1 2 1
Cartesian
-0.4964 -6.8513 0.1833
-0.0357 -0.3209 0.1118
-2.2594 -1.5441 0.3402
-0.4110 -3.6815 1.2842
```

Results
Symmetry: P4mm (99)
Energy of formation from the pure elements, eV/atom: 0.169
E, hartree per atom: -1.3873
Energy above the lowest structure with this stoichiometry, meV/atom: 0

---

Computed, not measured: a crystal of KBr2 relaxed with PBEsol at the meta-GGA SCAN level of DFT.

Structure (POSCAR):
```
KBr2
1.0
3.0057 0.0000 0.0000
0.0000 5.8277 0.0000
0.0000 0.0000 5.8277
K Br
1 2
Cartesian
0.0000 0.0000 0.0000
1.5029 0.0000 2.9138
1.5029 2.9138 0.0000
```

Results
Symmetry: P4/mmm (123)
E, hartree per atom: -0.6171
Energy above the lowest structure with this stoichiometry, meV/atom: 198

---

Computed, not measured: a crystal of Zr2SbMo relaxed with PBEsol at the meta-GGA SCAN level of DFT.

Structure (POSCAR):
```
Zr2SbMo
1.0
-2.1663 -0.5572 3.0460
-3.2306 -1.8041 -2.6277
1.7937 -4.1364 0.5190
Mo Sb Zr
1 1 2
Cartesian
-1.0832 -0.2786 1.5230
-1.8016 -3.2489 0.4687
-1.6153 -0.9021 -1.3138
0.8969 -2.0682 0.2595
```

Results
Symmetry: Cmmm (65)
E, hartree per atom: -1.2405

---

Computed, not measured: a crystal of K2CaH2S2O9 relaxed with PBEsol at the meta-GGA SCAN level of DFT.

Structure (POSCAR):
```
K2CaH2S2O9
1.0
6.2271 0.0000 -0.0158
0.0000 7.0680 0.0000
-2.3199 0.0000 9.4504
K Ca H S O
4 2 4 4 18
Cartesian
0.4239 3.5888 3.1675
3.4833 0.0548 6.2671
3.4833 3.4792 6.2671
0.4239 7.0132 3.1675
-0.1652 5.3010 9.1589
4.0724 1.7670 0.2757
0.7702 0.9594 7.0975
3.1369 4.4934 2.3371
3.1369 6.1086 2.3371
0.7702 2.5746 7.0975
0.2095 5.3010 6.0436
3.6977 1.7670 3.3910
2.9360 5.3010 9.3294
0.9712 1.7670 0.1051
2.5987 5.3010 2.0988
1.3085 1.7670 7.3358
1.8636 2.9559 0.1880
2.0436 6.4899 9.2466
2.0436 4.1121 9.2466
1.8636 0.5781 0.1880
4.0697 1.7670 8.3069
-0.1625 5.3010 1.1276
4.7917 1.7670 4.3963
-0.8845 5.3010 5.0382
2.3840 1.7670 4.0778
1.5232 5.3010 5.3568
3.8357 0.5720 2.5002
0.0715 4.1059 6.9344
0.0715 6.4960 6.9344
3.8357 2.9620 2.5002
0.0329 1.7670 1.2622
3.8742 5.3010 8.1724
```

Results
Symmetry: P2_1/m (11)
E, hartree per atom: -0.3252